The following is a PBE calculation of a relaxed structure of Ac5CdGe2, from the Alexandria database.

abc: 9.8649 9.8649 9.8649
angles: 129.15 129.15 74.76
Last column: nearest neighbours and their distance in Å.
Atoms (fractional coordinates):
Ac 0.0000 0.0000 0.0000  4 Ge 3.31
Ac 0.0269 0.5269 0.8342  3 Ge 3.25-3.37, 2 Cd 3.59
Ac 0.1927 0.0269 0.5000  3 Ge 3.25-3.37, 2 Cd 3.59
Ac 0.3073 0.8073 0.8342  3 Ge 3.25-3.37, 2 Cd 3.59
Ac 0.4731 0.3073 0.5000  3 Ge 3.25-3.37, 2 Cd 3.59
Ac 0.5000 0.5000 0.0000  4 Ge 3.31
Ac 0.5269 0.6927 0.5000  3 Ge 3.25-3.37, 2 Cd 3.59
Ac 0.6927 0.1927 0.1658  3 Ge 3.25-3.37, 2 Cd 3.59
Ac 0.8073 0.9731 0.5000  3 Ge 3.25-3.37, 2 Cd 3.59
Ac 0.9731 0.4731 0.1658  3 Ge 3.25-3.37, 2 Cd 3.59
Cd 0.2500 0.2500 0.0000  10 Ac 3.59-3.92
Cd 0.7500 0.7500 0.0000  10 Ac 3.59-3.92
Ge 0.1329 0.3671 0.5000  1 Ge 3.18, 8 Ac 3.25-3.37
Ge 0.3671 0.8671 0.2342  1 Ge 3.18, 8 Ac 3.25-3.37
Ge 0.6329 0.1329 0.7658  1 Ge 3.18, 8 Ac 3.25-3.37
Ge 0.8671 0.6329 0.5000  1 Ge 3.18, 8 Ac 3.25-3.37

Energy relative to the elements in eV/atom: -0.45
Crystal system: tetragonal
Volume in A^3/atom: 35.15
Magnetization in Bohr magnetons per cell: 0.00
ΔE to the lowest computed polymorph in eV per formula unit: 0.00

The following is a PBE calculation of a relaxed structure of Ba7In2Au2, from the Alexandria database.

abc: 7.9458 7.9458 8.2953
angles: 90.00 90.00 108.52
Last column: nearest neighbours and their distance in Å.
Atoms (fractional coordinates):
Ba 0.0000 0.0000 0.0000  2 Au 3.80
Ba 0.0000 0.5000 0.2642  2 Au 3.24
Ba 0.0000 0.5000 0.7358  2 Au 3.24
Ba 0.5000 0.0000 0.2642  2 Au 3.24
Ba 0.5000 0.0000 0.7358  2 Au 3.24
Ba 0.5000 0.5000 0.2565  2 Au 3.40, 2 In 3.76
Ba 0.5000 0.5000 0.7435  2 Au 3.40, 2 In 3.76
In 0.1587 0.1587 0.5000  1 In 2.95
In 0.8413 0.8413 0.5000  1 In 2.95
Au 0.2942 0.7058 0.0000  6 Ba 3.24-3.40
Au 0.7058 0.2942 0.0000  6 Ba 3.24-3.40

Energy relative to the elements in eV/atom: -0.37
Crystal system: orthorhombic
Volume in A^3/atom: 45.15
Magnetization in Bohr magnetons per cell: 0.00

The following is a PBE calculation of a relaxed structure of CePmLu2, from the Alexandria database.

abc: 3.5423 3.5423 9.7339
angles: 90.00 90.00 90.00
Last column: nearest neighbours and their distance in Å.
Atoms (fractional coordinates):
Ce 0.0000 0.0000 0.0000  8 Lu 3.44, 4 Ce 3.54
Pm 0.0000 0.0000 0.5000  4 Pm 3.54, 8 Lu 3.54
Lu 0.5000 0.5000 0.2425  4 Ce 3.44, 4 Lu 3.54, 4 Pm 3.54
Lu 0.5000 0.5000 0.7575  4 Ce 3.44, 4 Lu 3.54, 4 Pm 3.54

Energy relative to the elements in eV/atom: 0.06
Crystal system: tetragonal
Volume in A^3/atom: 30.54
Magnetization in Bohr magnetons per cell: 0.66
ΔE to the lowest computed polymorph in eV per formula unit: 0.02

The following is a PBE calculation of a relaxed structure of Ni2BiS, from the Alexandria database.

abc: 4.4918 4.4918 4.4918
angles: 60.00 60.00 60.00
Last column: nearest neighbours and their distance in Å.
Atoms (fractional coordinates):
Ni 0.2500 0.2500 0.2500  4 S 2.75, 4 Bi 2.75
Ni 0.7500 0.7500 0.7500  4 S 2.75, 4 Bi 2.75
Bi 0.0000 0.0000 0.0000  8 Ni 2.75
S 0.5000 0.5000 0.5000  8 Ni 2.75

Crystal system: cubic
Volume in A^3/atom: 16.02
Magnetization in Bohr magnetons per cell: 0.00
Raw formation energy in eV per formula unit: 1.05
ΔE to the lowest computed polymorph in eV per formula unit: 2.02

The following is a PBE calculation of a relaxed structure of CrSb8, from the Alexandria database.

abc: 8.3676 8.3676 8.3676
angles: 92.99 92.99 153.61
Last column: nearest neighbours and their distance in Å.
Atoms (fractional coordinates):
Cr 0.0000 0.0000 0.0000  8 Sb 2.85
Sb 0.0000 0.3469 0.3469  8 Sb 3.14-3.48
Sb 0.0000 0.6531 0.6531  8 Sb 3.14-3.48
Sb 0.3469 0.0000 0.3469  8 Sb 3.14-3.48
Sb 0.3698 0.3698 0.7396  2 Cr 2.85, 2 Sb 3.00
Sb 0.3698 0.6302 0.0000  2 Cr 2.85, 2 Sb 3.00
Sb 0.6302 0.3698 0.0000  2 Cr 2.85, 2 Sb 3.00
Sb 0.6302 0.6302 0.2604  2 Cr 2.85, 2 Sb 3.00
Sb 0.6531 0.0000 0.6531  8 Sb 3.14-3.48

Crystal system: tetragonal
Volume in A^3/atom: 28.17
Magnetization in Bohr magnetons per cell: 2.82
Raw formation energy in eV per formula unit: 2.01

The following is a PBE calculation of a relaxed structure of Li4CoTe, from the Alexandria database.

abc: 4.9556 4.9556 4.9556
angles: 60.00 60.00 60.00
Last column: nearest neighbours and their distance in Å.
Atoms (fractional coordinates):
Li 0.3770 0.3770 0.3770  6 Li 2.44-2.52
Li 0.3770 0.3770 0.8689  6 Li 2.44-2.52
Li 0.3770 0.8689 0.3770  6 Li 2.44-2.52
Li 0.8689 0.3770 0.3770  6 Li 2.44-2.52
Co 0.7500 0.7500 0.7500  12 Li 2.90, 4 Te 3.03
Te 0.0000 0.0000 0.0000  12 Li 2.91, 4 Co 3.03

Crystal system: cubic
Volume in A^3/atom: 14.34
Magnetization in Bohr magnetons per cell: 0.01
Raw formation energy in eV per formula unit: 0.56

The following is a PBE calculation of a relaxed structure of Be2Cu5SiAu2, from the Alexandria database.

abc: 8.3010 8.3010 3.6559
angles: 90.00 90.00 90.00
Last column: nearest neighbours and their distance in Å.
Atoms (fractional coordinates):
Be 0.1175 0.3825 0.0000  6 Cu 2.29-2.39, 3 Au 2.45-2.46
Be 0.3825 0.8825 0.0000  6 Cu 2.29-2.39, 3 Au 2.45-2.46
Be 0.6175 0.1175 0.0000  6 Cu 2.29-2.39, 3 Au 2.45-2.46
Be 0.8825 0.6175 0.0000  6 Cu 2.29-2.39, 3 Au 2.45-2.46
Cu 0.0000 0.5000 0.5000  4 Be 2.29, 4 Cu 2.55
Cu 0.0754 0.2018 0.5000  2 Be 2.39, 4 Cu 2.53-2.62, 2 Si 2.56
Cu 0.2018 0.9246 0.5000  2 Be 2.39, 4 Cu 2.53-2.62, 2 Si 2.56
Cu 0.2982 0.4246 0.5000  2 Be 2.39, 4 Cu 2.53-2.62, 2 Si 2.56
Cu 0.4246 0.7018 0.5000  2 Be 2.39, 4 Cu 2.53-2.62, 2 Si 2.56
Cu 0.5000 0.0000 0.5000  4 Be 2.29, 4 Cu 2.55
Cu 0.5754 0.2982 0.5000  2 Be 2.39, 4 Cu 2.53-2.62, 2 Si 2.56
Cu 0.7018 0.5754 0.5000  2 Be 2.39, 4 Cu 2.53-2.62, 2 Si 2.56
Cu 0.7982 0.0754 0.5000  2 Be 2.39, 4 Cu 2.53-2.62, 2 Si 2.56
Cu 0.9246 0.7982 0.5000  2 Be 2.39, 4 Cu 2.53-2.62, 2 Si 2.56
Si 0.0000 0.0000 0.0000  8 Cu 2.56
Si 0.5000 0.5000 0.0000  8 Cu 2.56
Au 0.1739 0.6739 0.0000  3 Be 2.45-2.46, 2 Cu 2.74
Au 0.3261 0.1739 0.0000  3 Be 2.45-2.46, 2 Cu 2.74
Au 0.6739 0.8261 0.0000  3 Be 2.45-2.46, 2 Cu 2.74
Au 0.8261 0.3261 0.0000  3 Be 2.45-2.46, 2 Cu 2.74

Crystal system: tetragonal
Volume in A^3/atom: 12.60
Magnetization in Bohr magnetons per cell: 0.00
Raw formation energy in eV per formula unit: -0.29

The following is a PBE calculation of a relaxed structure of CsTl2Hg, from the Alexandria database.

abc: 4.0033 4.0033 9.0321
angles: 90.00 90.00 90.00
Last column: nearest neighbours and their distance in Å.
Atoms (fractional coordinates):
Cs 0.0000 0.0000 0.0000  4 Cs 4.00, 8 Tl 4.02
Tl 0.5000 0.5000 0.3161  4 Hg 3.28, 1 Tl 3.32
Tl 0.5000 0.5000 0.6839  4 Hg 3.28, 1 Tl 3.32
Hg 0.0000 0.0000 0.5000  8 Tl 3.28

Energy relative to the elements in eV/atom: -0.06
Crystal system: tetragonal
Volume in A^3/atom: 36.19
Magnetization in Bohr magnetons per cell: 0.00
ΔE to the lowest computed polymorph in eV per formula unit: 0.17